MnOF: relaxed, PBE+U.

Lattice parameters (Å, degrees): 3.0979 4.7945 14.1937 90.00 90.00 90.00
Last column: nearest neighbours and their distance in Å.
Atoms (fractional coordinates):
Mn: 0.0000 0.2954 0.1672  2 O 1.90-1.93, 4 F 2.05-2.10
Mn: 0.5000 0.7159 0.9992  4 O 1.97-1.98
Mn: 0.0000 0.2841 0.4992  4 O 1.97-1.98
Mn: 0.0000 0.1410 0.8312  3 O 1.91-1.96, 2 F 2.08
Mn: 0.5000 0.7046 0.6672  2 O 1.90-1.93, 4 F 2.05-2.10
Mn: 0.5000 0.8590 0.3312  3 O 1.91-1.96, 2 F 2.08
F: 0.5000 0.5150 0.2343  3 Mn 2.10-2.15
F: 0.5000 0.0843 0.1057  2 Mn 2.05
F: 0.5000 0.3647 0.8932  3 Mn 2.08-2.26
F: 0.0000 0.9157 0.6057  2 Mn 2.05
F: 0.0000 0.4850 0.7343  3 Mn 2.10-2.15
F: 0.0000 0.6353 0.3932  3 Mn 2.08-2.26
O: 0.5000 0.1127 0.4346  3 Mn 1.91-1.98
O: 0.0000 0.5586 0.0671  3 Mn 1.90-1.97
O: 0.5000 0.4414 0.5671  3 Mn 1.90-1.97
O: 0.0000 0.0228 0.2675  3 Mn 1.93-1.96
O: 0.0000 0.8873 0.9346  3 Mn 1.91-1.98
O: 0.5000 0.9772 0.7675  3 Mn 1.93-1.96

Values from the calculation:
The value obtained for the total energy is -6.729 eV/atom.